No. 1
# Pm12Ru3Se5

Crystalline Pm12Ru3Se5 at its relaxed geometry (GGA-PBE, Alexandria via LeMat-Bulk).

Results
Uncorrected formation energy = -0.61 eV per atom
DOS at the Fermi energy = 0.930 states/eV per atom

abc: 14.8004 14.8004 14.8004
angles: 109.47 109.47 109.47
Positions (direct):
Pm (0.0588, 0.2297, 0.1282)
Pm (0.0588, 0.3292, 0.9307)
Pm (0.0693, 0.6282, 0.3985)
Pm (0.0693, 0.9412, 0.6708)
Pm (0.1015, 0.7297, 0.6708)
Pm (0.1015, 0.8718, 0.4307)
Pm (0.1282, 0.0588, 0.2297)
Pm (0.1282, 0.5693, 0.8985)
Pm (0.1708, 0.2297, 0.6015)
Pm (0.1708, 0.4412, 0.5693)
Pm (0.2297, 0.1282, 0.0588)
Pm (0.2297, 0.6015, 0.1708)
Pm (0.2703, 0.3292, 0.8985)
Pm (0.2703, 0.4412, 0.3718)
Pm (0.3292, 0.8985, 0.2703)
Pm (0.3292, 0.9307, 0.0588)
Pm (0.3718, 0.2703, 0.4412)
Pm (0.3718, 0.6015, 0.9307)
Pm (0.3985, 0.0693, 0.6282)
Pm (0.3985, 0.8292, 0.7703)
Pm (0.4307, 0.1015, 0.8718)
Pm (0.4307, 0.8292, 0.5588)
Pm (0.4412, 0.3718, 0.2703)
Pm (0.4412, 0.5693, 0.1708)
Pm (0.5588, 0.4307, 0.8292)
Pm (0.5588, 0.6282, 0.7297)
Pm (0.5693, 0.1708, 0.4412)
Pm (0.5693, 0.8985, 0.1282)
Pm (0.6015, 0.1708, 0.2297)
Pm (0.6015, 0.9307, 0.3718)
Pm (0.6282, 0.3985, 0.0693)
Pm (0.6282, 0.7297, 0.5588)
Pm (0.6708, 0.0693, 0.9412)
Pm (0.6708, 0.1015, 0.7297)
Pm (0.7297, 0.5588, 0.6282)
Pm (0.7297, 0.6708, 0.1015)
Pm (0.7703, 0.3985, 0.8292)
Pm (0.7703, 0.8718, 0.9412)
Pm (0.8292, 0.5588, 0.4307)
Pm (0.8292, 0.7703, 0.3985)
Pm (0.8718, 0.4307, 0.1015)
Pm (0.8718, 0.9412, 0.7703)
Pm (0.8985, 0.1282, 0.5693)
Pm (0.8985, 0.2703, 0.3292)
Pm (0.9307, 0.0588, 0.3292)
Pm (0.9307, 0.3718, 0.6015)
Pm (0.9412, 0.6708, 0.0693)
Pm (0.9412, 0.7703, 0.8718)
Ru (0.1250, 0.2500, 0.3750)
Ru (0.1250, 0.3750, 0.7500)
Ru (0.2500, 0.3750, 0.1250)
Ru (0.2500, 0.8750, 0.6250)
Ru (0.3750, 0.1250, 0.2500)
Ru (0.3750, 0.7500, 0.1250)
Ru (0.6250, 0.2500, 0.8750)
Ru (0.6250, 0.8750, 0.7500)
Ru (0.7500, 0.1250, 0.3750)
Ru (0.7500, 0.6250, 0.8750)
Ru (0.8750, 0.6250, 0.2500)
Ru (0.8750, 0.7500, 0.6250)
Se (0.0000, 0.0000, 0.0000)
Se (0.0000, 0.0000, 0.5000)
Se (0.0000, 0.5000, 0.0000)
Se (0.0000, 0.5000, 0.5000)
Se (0.1250, 0.7500, 0.8750)
Se (0.1250, 0.8750, 0.2500)
Se (0.2500, 0.1250, 0.8750)
Se (0.2500, 0.6250, 0.3750)
Se (0.3750, 0.2500, 0.6250)
Se (0.3750, 0.6250, 0.7500)
Se (0.5000, 0.0000, 0.0000)
Se (0.5000, 0.0000, 0.5000)
Se (0.5000, 0.5000, 0.0000)
Se (0.5000, 0.5000, 0.5000)
Se (0.6250, 0.3750, 0.2500)
Se (0.6250, 0.7500, 0.3750)
Se (0.7500, 0.3750, 0.6250)
Se (0.7500, 0.8750, 0.1250)
Se (0.8750, 0.1250, 0.7500)
Se (0.8750, 0.2500, 0.1250)


No. 2
# PmSi3Ru3

Crystalline PmSi3Ru3 at its relaxed geometry (GGA-PBE, Alexandria via LeMat-Bulk).

Results
Uncorrected formation energy = -0.24 eV per atom
DOS at the Fermi energy = 0.338 states/eV per atom

abc: 6.4851 6.4851 6.4851
angles: 90.00 90.00 90.00
Positions (direct):
Pm (0.0000, 0.0000, 0.0000)
Pm (0.5000, 0.5000, 0.5000)
Si (0.0000, 0.2500, 0.5000)
Si (0.0000, 0.7500, 0.5000)
Si (0.2500, 0.5000, 0.0000)
Si (0.5000, 0.0000, 0.2500)
Si (0.5000, 0.0000, 0.7500)
Si (0.7500, 0.5000, 0.0000)
Ru (0.0000, 0.5000, 0.2500)
Ru (0.0000, 0.5000, 0.7500)
Ru (0.2500, 0.0000, 0.5000)
Ru (0.5000, 0.2500, 0.0000)
Ru (0.5000, 0.7500, 0.0000)
Ru (0.7500, 0.0000, 0.5000)


No. 3
# PmSi2Ru3

Crystalline PmSi2Ru3 at its relaxed geometry (GGA-PBE, Alexandria via LeMat-Bulk).

Results
Uncorrected formation energy = -0.65 eV per atom
DOS at the Fermi energy = 1.113 states/eV per atom

abc: 5.6175 5.6175 3.6317
angles: 90.00 90.00 120.00
Positions (direct):
Pm (0.0000, 0.0000, 0.0000)
Si (0.3333, 0.6667, 0.0000)
Si (0.6667, 0.3333, 0.0000)
Ru (0.0000, 0.5000, 0.5000)
Ru (0.5000, 0.0000, 0.5000)
Ru (0.5000, 0.5000, 0.5000)


No. 4
# Pm2Si9Ru3

Crystalline Pm2Si9Ru3 at its relaxed geometry (GGA-PBE, Alexandria via LeMat-Bulk).

Results
Uncorrected formation energy = -0.49 eV per atom
DOS at the Fermi energy = 0.471 states/eV per atom

abc: 7.5334 7.5334 10.2240
angles: 111.44 111.44 57.49
Positions (direct):
Pm (0.0808, 0.2463, 0.2492)
Pm (0.2463, 0.0808, 0.7492)
Pm (0.7537, 0.9192, 0.2508)
Pm (0.9192, 0.7537, 0.7508)
Si (0.0308, 0.8486, 0.0683)
Si (0.1514, 0.9692, 0.4317)
Si (0.1813, 0.3565, 0.5635)
Si (0.2188, 0.5547, 0.2501)
Si (0.3117, 0.4808, 0.9410)
Si (0.3565, 0.1813, 0.0635)
Si (0.4109, 0.5891, 0.7500)
Si (0.4453, 0.7812, 0.2499)
Si (0.4808, 0.3117, 0.4410)
Si (0.5192, 0.6883, 0.5590)
Si (0.5547, 0.2188, 0.7501)
Si (0.5891, 0.4109, 0.2500)
Si (0.6435, 0.8187, 0.9365)
Si (0.6883, 0.5192, 0.0590)
Si (0.7812, 0.4453, 0.7499)
Si (0.8187, 0.6435, 0.4365)
Si (0.8486, 0.0308, 0.5683)
Si (0.9692, 0.1514, 0.9317)
Ru (0.0000, 0.5000, 0.0000)
Ru (0.1799, 0.6636, 0.5042)
Ru (0.3364, 0.8201, 0.9958)
Ru (0.5000, 0.0000, 0.5000)
Ru (0.6636, 0.1799, 0.0042)
Ru (0.8201, 0.3364, 0.4958)


No. 5
# PmSiRu2

Crystalline PmSiRu2 at its relaxed geometry (GGA-PBE, Alexandria via LeMat-Bulk).

Results
Uncorrected formation energy = -0.27 eV per atom
DOS at the Fermi energy = 0.942 states/eV per atom

abc: 3.1398 3.1398 6.7652
angles: 90.00 90.00 90.00
Positions (direct):
Pm (0.0000, 0.0000, 0.0000)
Si (0.0000, 0.0000, 0.5000)
Ru (0.5000, 0.5000, 0.3015)
Ru (0.5000, 0.5000, 0.6985)


No. 6
# PmSi2Ru2

Crystalline PmSi2Ru2 at its relaxed geometry (GGA-PBE, Alexandria via LeMat-Bulk).

Results
Uncorrected formation energy = -0.90 eV per atom
DOS at the Fermi energy = 0.419 states/eV per atom

abc: 5.7050 5.7050 5.7050
angles: 136.70 136.70 62.90
Positions (direct):
Pm (0.0000, 0.0000, 0.0000)
Si (0.3662, 0.3662, 0.0000)
Si (0.6338, 0.6338, 0.0000)
Ru (0.2500, 0.7500, 0.5000)
Ru (0.7500, 0.2500, 0.5000)


No. 7
# Pm6SiRu2

Crystalline Pm6SiRu2 at its relaxed geometry (GGA-PBE, Alexandria via LeMat-Bulk).

Results
Uncorrected formation energy = -0.26 eV per atom
DOS at the Fermi energy = 0.859 states/eV per atom

abc: 7.4622 7.4622 10.1094
angles: 124.43 124.43 34.20
Positions (direct):
Pm (0.0073, 0.0073, 0.1972)
Pm (0.2674, 0.2674, 0.8702)
Pm (0.3488, 0.3488, 0.4713)
Pm (0.6512, 0.6512, 0.5287)
Pm (0.7326, 0.7326, 0.1298)
Pm (0.9927, 0.9927, 0.8028)
Si (0.0000, 0.0000, 0.5000)
Ru (0.3993, 0.3993, 0.2363)
Ru (0.6007, 0.6007, 0.7637)


No. 8
# Pm2SiRu2

Crystalline Pm2SiRu2 at its relaxed geometry (GGA-PBE, Alexandria via LeMat-Bulk).

Results
Uncorrected formation energy = -0.51 eV per atom
DOS at the Fermi energy = 0.661 states/eV per atom

abc: 5.8792 5.8792 7.3745
angles: 101.07 101.07 56.74
Positions (direct):
Pm (0.0041, 0.2834, 0.1428)
Pm (0.2834, 0.0041, 0.6428)
Pm (0.7166, 0.9959, 0.3572)
Pm (0.9959, 0.7166, 0.8572)
Si (0.4079, 0.5921, 0.2500)
Si (0.5921, 0.4079, 0.7500)
Ru (0.2310, 0.5074, 0.4859)
Ru (0.4926, 0.7690, 0.0141)
Ru (0.5074, 0.2310, 0.9859)
Ru (0.7690, 0.4926, 0.5141)


No. 9
# Pm6SiRu

Crystalline Pm6SiRu at its relaxed geometry (GGA-PBE, Alexandria via LeMat-Bulk).

Results
Uncorrected formation energy = -0.08 eV per atom
DOS at the Fermi energy = 1.407 states/eV per atom

abc: 6.6401 6.6401 6.9469
angles: 99.39 99.39 114.53
Positions (direct):
Pm (0.0571, 0.3998, 0.2473)
Pm (0.2498, 0.2498, 0.7623)
Pm (0.3998, 0.0571, 0.2473)
Pm (0.6002, 0.9429, 0.7527)
Pm (0.7502, 0.7502, 0.2377)
Pm (0.9429, 0.6002, 0.7527)
Si (0.5000, 0.5000, 0.5000)
Ru (0.0000, 0.0000, 0.0000)


No. 10
# Pm6Si2Ru

Crystalline Pm6Si2Ru at its relaxed geometry (GGA-PBE, Alexandria via LeMat-Bulk).

Results
Uncorrected formation energy = -0.33 eV per atom
DOS at the Fermi energy = 1.116 states/eV per atom

abc: 6.3227 8.1147 11.7800
angles: 90.00 122.46 90.00
Positions (direct):
Pm (0.0736, 0.1732, 0.4381)
Pm (0.0736, 0.3268, 0.9381)
Pm (0.2980, 0.6784, 0.4432)
Pm (0.2980, 0.8216, 0.9432)
Pm (0.3680, 0.0363, 0.2420)
Pm (0.3680, 0.4637, 0.7420)
Pm (0.6320, 0.5363, 0.2580)
Pm (0.6320, 0.9637, 0.7580)
Pm (0.7020, 0.1784, 0.0568)
Pm (0.7020, 0.3216, 0.5568)
Pm (0.9264, 0.6732, 0.0619)
Pm (0.9264, 0.8268, 0.5619)
Si (0.1826, 0.1161, 0.7539)
Si (0.1826, 0.3839, 0.2539)
Si (0.8174, 0.6161, 0.7461)
Si (0.8174, 0.8839, 0.2461)
Ru (0.5000, 0.0000, 0.5000)
Ru (0.5000, 0.5000, 0.0000)


No. 11
# Pm4SiRu

Crystalline Pm4SiRu at its relaxed geometry (GGA-PBE, Alexandria via LeMat-Bulk).

Results
Uncorrected formation energy = -0.26 eV per atom
DOS at the Fermi energy = 1.191 states/eV per atom

abc: 7.2053 7.0852 6.9869
angles: 90.00 92.24 90.00
Positions (direct):
Pm (0.1595, 0.1645, 0.1757)
Pm (0.1595, 0.3355, 0.6757)
Pm (0.3202, 0.6634, 0.1531)
Pm (0.3202, 0.8366, 0.6531)
Pm (0.6798, 0.1634, 0.3469)
Pm (0.6798, 0.3366, 0.8469)
Pm (0.8405, 0.6645, 0.3243)
Pm (0.8405, 0.8355, 0.8243)
Si (0.5000, 0.0000, 0.0000)
Si (0.5000, 0.5000, 0.5000)
Ru (0.0000, 0.0000, 0.5000)
Ru (0.0000, 0.5000, 0.0000)


No. 12
# Pm2Si3Ru

Crystalline Pm2Si3Ru at its relaxed geometry (GGA-PBE, Alexandria via LeMat-Bulk).

Results
Uncorrected formation energy = -0.71 eV per atom
DOS at the Fermi energy = 0.781 states/eV per atom

abc: 8.2580 8.2549 5.8679
angles: 69.21 69.16 41.63
Positions (direct):
Pm (0.2443, 0.7557, 0.7557)
Pm (0.2500, 0.2500, 0.2500)
Pm (0.7500, 0.7500, 0.7500)
Pm (0.7557, 0.2443, 0.2443)
Si (0.1653, 0.6665, 0.3335)
Si (0.3325, 0.3325, 0.6675)
Si (0.3335, 0.8347, 0.1653)
Si (0.6665, 0.1653, 0.8347)
Si (0.6675, 0.6675, 0.3325)
Si (0.8347, 0.3335, 0.6665)
Ru (0.1664, 0.1664, 0.8336)
Ru (0.8336, 0.8336, 0.1664)